YTiTcI2 | PBE-GGA | optimized geometry

Lattice parameters (Å, degrees): 5.4056 5.4056 4.6284 90.00 90.00 90.00
Closest atoms and distances in Å follow each position.
Atoms (fractional coordinates):
1 Y 0.0000 0.0000 0.0000  8 I 3.56, 4 Ti 3.82
2 Ti 0.5000 0.5000 0.0000  2 Tc 2.31
3 Tc 0.5000 0.5000 0.5000  2 Ti 2.31
4 I 0.0000 0.5000 0.5000  2 Tc 2.70
5 I 0.5000 0.0000 0.5000  2 Tc 2.70

Calculated values
Raw formation energy = 0.4884 eV/atom
DFT total energy = -0.187 Ha/atom
Magnetic moment = 0.00 μB/atom



MgGaCo | PBE-GGA | optimized geometry

Lattice parameters (Å, degrees): 5.1724 5.1724 5.1724 145.55 145.55 49.52
Closest atoms and distances in Å follow each position.
Atoms (fractional coordinates):
1 Mg 0.0000 0.0000 0.0000  4 Co 2.71, 5 Ga 2.77-2.90
2 Ga 0.2944 0.2944 0.0000  4 Co 2.44
3 Co 0.6737 0.6737 0.0000  4 Ga 2.44, 4 Mg 2.71

Calculated values
DFT total energy = -0.149 Ha/atom
Magnetic moment = 0.16 μB/atom



LiAlPO4 | PBE-GGA | optimized geometry

Lattice parameters (Å, degrees): 5.7191 5.7191 6.2735 90.00 90.00 124.17
Closest atoms and distances in Å follow each position.
Atoms (fractional coordinates):
1 Li 0.0000 0.0000 0.0000  4 O 2.15
2 Li 0.0000 0.0000 0.5000  4 O 2.15
3 Al 0.3349 0.6651 0.7500  4 O 1.89-1.96
4 Al 0.6651 0.3349 0.2500  4 O 1.89-1.96
5 P 0.4087 0.5913 0.2500  4 O 1.53-1.60
6 P 0.5913 0.4087 0.7500  4 O 1.53-1.60
7 O 0.2628 0.2872 0.7500  1 P 1.60
8 O 0.2872 0.2628 0.2500  1 P 1.60
9 O 0.3209 0.6791 0.0505  1 P 1.53
10 O 0.3209 0.6791 0.4495  1 P 1.53
11 O 0.6791 0.3209 0.5505  1 P 1.53
12 O 0.6791 0.3209 0.9495  1 P 1.53
13 O 0.7128 0.7372 0.7500  1 P 1.60
14 O 0.7372 0.7128 0.2500  1 P 1.60

Calculated values
Raw formation energy = -2.0803 eV/atom
DFT total energy = -0.239 Ha/atom
Magnetic moment = 0.13 μB/atom



Sr2TiNbPt | PBE-GGA | optimized geometry

Lattice parameters (Å, degrees): 5.7631 5.7631 5.0511 90.00 90.00 90.00
Closest atoms and distances in Å follow each position.
Atoms (fractional coordinates):
1 Sr 0.0000 0.5000 0.0000  2 Pt 2.88
2 Sr 0.5000 0.0000 0.0000  2 Pt 2.88
3 Ti 0.0000 0.0000 0.5000  8 Sr 3.83, 4 Nb 4.08
4 Nb 0.5000 0.5000 0.5000  2 Pt 2.53
5 Pt 0.5000 0.5000 0.0000  2 Nb 2.53

Calculated values
DFT total energy = -0.174 Ha/atom
Magnetic moment = 0.49 μB/atom